No. 1
Density functional theory data (GGA-PBE) for Pu3Ni3Ge8 after structural relaxation.

Cell: 8.340 8.340 8.352 Å, 113.64 113.64 28.99°
Atoms (fractional coordinates):
Pu 0.000 0.000 0.000
Pu 0.278 0.278 0.311
Pu 0.722 0.722 0.689
Ni 0.000 0.000 0.500
Ni 0.352 0.352 0.009
Ni 0.648 0.648 0.991
Ge 0.124 0.124 0.427
Ge 0.181 0.181 0.900
Ge 0.369 0.369 0.748
Ge 0.473 0.473 0.300
Ge 0.527 0.527 0.700
Ge 0.631 0.631 0.252
Ge 0.819 0.819 0.100
Ge 0.876 0.876 0.573

Summary:
Symmetry: C2/m, No. 12
Electronic total energy: -7.294 eV per atom
Magnetic moment: 15.79 μB per formula unit
DOS at the Fermi energy: 2.364 states/eV per atom

No. 2
Density functional theory data (GGA-PBE) for PuNi4Ge4 after structural relaxation.

Cell: 6.167 6.167 6.167 Å, 97.83 97.83 136.67°
Atoms (fractional coordinates):
Pu 0.000 0.000 0.000
Ni 0.180 0.324 0.504
Ni 0.324 0.820 0.144
Ni 0.676 0.180 0.856
Ni 0.820 0.676 0.496
Ge 0.128 0.614 0.742
Ge 0.386 0.128 0.513
Ge 0.614 0.872 0.487
Ge 0.872 0.386 0.258

Summary:
Symmetry: I4/m, No. 87
Electronic total energy: -6.435 eV per atom
Magnetic moment: 6.09 μB per formula unit
DOS at the Fermi energy: 1.854 states/eV per atom

No. 3
Density functional theory data (GGA-PBE) for Pu2NiGe2 after structural relaxation.

Cell: 5.619 5.619 10.221 Å, 116.24 116.24 45.03°
Atoms (fractional coordinates):
Pu 0.004 0.004 0.172
Pu 0.188 0.188 0.600
Pu 0.812 0.812 0.400
Pu 0.996 0.996 0.828
Ni 0.274 0.274 0.142
Ni 0.726 0.726 0.858
Ge 0.346 0.346 0.938
Ge 0.495 0.495 0.627
Ge 0.505 0.505 0.373
Ge 0.654 0.654 0.062

Summary:
Symmetry: C2/m, No. 12
Electronic total energy: -9.204 eV per atom
Magnetic moment: 10.77 μB per formula unit
DOS at the Fermi energy: 3.440 states/eV per atom

No. 4
Density functional theory data (GGA-PBE) for PuNi12Ge6 after structural relaxation.

Cell: 6.697 6.697 6.697 Å, 105.17 105.17 105.17°
Atoms (fractional coordinates):
Pu 0.000 0.000 0.000
Ni 0.119 0.500 0.881
Ni 0.119 0.881 0.500
Ni 0.160 0.415 0.415
Ni 0.415 0.160 0.415
Ni 0.415 0.415 0.160
Ni 0.500 0.119 0.881
Ni 0.500 0.881 0.119
Ni 0.585 0.585 0.840
Ni 0.585 0.840 0.585
Ni 0.840 0.585 0.585
Ni 0.881 0.119 0.500
Ni 0.881 0.500 0.119
Ge 0.258 0.258 0.705
Ge 0.258 0.705 0.258
Ge 0.295 0.742 0.742
Ge 0.705 0.258 0.258
Ge 0.742 0.295 0.742
Ge 0.742 0.742 0.295

Summary:
Symmetry: R-3m, No. 166
Electronic total energy: -6.074 eV per atom
Magnetic moment: 5.57 μB per formula unit
DOS at the Fermi energy: 1.479 states/eV per atom

No. 5
Density functional theory data (GGA-PBE) for Pu2Ni12Ge7 after structural relaxation.

Cell: 9.593 9.593 3.723 Å, 90.00 90.00 120.00°
Atoms (fractional coordinates):
Pu 0.333 0.667 0.253
Pu 0.667 0.333 0.747
Ni 0.054 0.620 0.748
Ni 0.117 0.856 0.254
Ni 0.144 0.260 0.254
Ni 0.260 0.117 0.746
Ni 0.380 0.434 0.748
Ni 0.434 0.054 0.252
Ni 0.566 0.946 0.748
Ni 0.620 0.566 0.252
Ni 0.740 0.883 0.254
Ni 0.856 0.740 0.746
Ni 0.883 0.144 0.746
Ni 0.946 0.380 0.252
Ge 0.000 0.000 0.000
Ge 0.116 0.405 0.752
Ge 0.290 0.884 0.752
Ge 0.405 0.290 0.248
Ge 0.595 0.710 0.752
Ge 0.710 0.116 0.248
Ge 0.884 0.595 0.248

Summary:
Symmetry: P-3, No. 147
Electronic total energy: -6.582 eV per atom
Magnetic moment: 10.92 μB per formula unit
DOS at the Fermi energy: 1.342 states/eV per atom

No. 6
Density functional theory data (GGA-PBE) for PuNi3Ge3 after structural relaxation.

Cell: 8.081 8.081 4.093 Å, 90.00 90.00 120.00°
Atoms (fractional coordinates):
Pu 0.333 0.667 0.250
Pu 0.667 0.333 0.750
Ni 0.050 0.842 0.250
Ni 0.158 0.209 0.250
Ni 0.209 0.050 0.750
Ni 0.791 0.950 0.250
Ni 0.842 0.791 0.750
Ni 0.950 0.158 0.750
Ge 0.083 0.702 0.750
Ge 0.298 0.381 0.750
Ge 0.381 0.083 0.250
Ge 0.619 0.917 0.750
Ge 0.702 0.619 0.250
Ge 0.917 0.298 0.250

Summary:
Symmetry: P6_3/m, No. 176
Electronic total energy: -6.793 eV per atom
Magnetic moment: 5.62 μB per formula unit
DOS at the Fermi energy: 1.570 states/eV per atom

No. 7
Density functional theory data (GGA-PBE) for Pu3NiGe2 after structural relaxation.

Cell: 7.740 7.740 7.740 Å, 133.06 68.29 133.40°
Atoms (fractional coordinates):
Pu 0.144 0.216 0.359
Pu 0.250 0.250 0.000
Pu 0.356 0.716 0.072
Pu 0.644 0.284 0.928
Pu 0.750 0.750 0.000
Pu 0.856 0.784 0.641
Ni 0.250 0.750 0.500
Ni 0.750 0.250 0.500
Ge 0.124 0.702 0.826
Ge 0.376 0.202 0.577
Ge 0.624 0.798 0.423
Ge 0.876 0.298 0.174

Summary:
Energy above the lowest structure with this stoichiometry: 108 meV per atom
Symmetry: Ibam, No. 72
Electronic total energy: -9.925 eV per atom
Magnetic moment: 5.68 μB per formula unit
DOS at the Fermi energy: 3.299 states/eV per atom

No. 8
Density functional theory data (GGA-PBE) for PuNi2Ge4 after structural relaxation.

Cell: 17.365 4.107 6.470 Å, 90.00 90.00 90.00°
Atoms (fractional coordinates):
Pu 0.140 0.250 0.013
Pu 0.360 0.750 0.513
Pu 0.640 0.250 0.487
Pu 0.860 0.750 0.987
Ni 0.032 0.750 0.744
Ni 0.208 0.250 0.496
Ni 0.292 0.750 0.996
Ni 0.468 0.250 0.244
Ni 0.532 0.750 0.756
Ni 0.708 0.250 0.004
Ni 0.792 0.750 0.504
Ni 0.968 0.250 0.256
Ge 0.029 0.750 0.137
Ge 0.068 0.250 0.520
Ge 0.181 0.750 0.708
Ge 0.200 0.750 0.292
Ge 0.300 0.250 0.792
Ge 0.319 0.250 0.208
Ge 0.432 0.750 0.020
Ge 0.471 0.250 0.637
Ge 0.529 0.750 0.363
Ge 0.568 0.250 0.980
Ge 0.681 0.750 0.792
Ge 0.700 0.750 0.208
Ge 0.800 0.250 0.708
Ge 0.819 0.250 0.292
Ge 0.932 0.750 0.480
Ge 0.971 0.250 0.863

Summary:
Symmetry: Pnma, No. 62
Electronic total energy: -6.698 eV per atom
Magnetic moment: 5.50 μB per formula unit
DOS at the Fermi energy: 1.563 states/eV per atom

No. 9
Density functional theory data (GGA-PBE) for Pu3NiGe2 after structural relaxation.

Cell: 11.835 4.215 10.209 Å, 90.00 90.00 90.00°
Atoms (fractional coordinates):
Pu 0.048 0.250 0.093
Pu 0.126 0.750 0.560
Pu 0.235 0.250 0.764
Pu 0.265 0.750 0.264
Pu 0.374 0.250 0.060
Pu 0.452 0.750 0.593
Pu 0.548 0.250 0.407
Pu 0.626 0.750 0.940
Pu 0.735 0.250 0.736
Pu 0.765 0.750 0.236
Pu 0.874 0.250 0.440
Pu 0.952 0.750 0.907
Ni 0.116 0.250 0.353
Ni 0.384 0.750 0.853
Ni 0.616 0.250 0.147
Ni 0.884 0.750 0.647
Ge 0.012 0.750 0.294
Ge 0.203 0.750 0.974
Ge 0.297 0.250 0.474
Ge 0.488 0.250 0.794
Ge 0.512 0.750 0.206
Ge 0.703 0.750 0.526
Ge 0.797 0.250 0.026
Ge 0.988 0.250 0.706

Summary:
Energy above the lowest structure with this stoichiometry: 0 meV per atom
Symmetry: Pnma, No. 62
Electronic total energy: -10.033 eV per atom
Magnetic moment: 5.22 μB per formula unit
DOS at the Fermi energy: 4.599 states/eV per atom

Number 1: V 18.3 Å³/atom, formation energy from the elements -0.35 eV/atom. Number 2: V 16.6 Å³/atom, formation energy from the elements -0.22 eV/atom. Number 3: V 20.0 Å³/atom, formation energy from the elements -0.47 eV/atom. Number 4: V 13.8 Å³/atom, formation energy from the elements -0.21 eV/atom. Number 5: V 14.1 Å³/atom, formation energy from the elements -0.37 eV/atom. Number 6: V 16.5 Å³/atom, formation energy from the elements -0.29 eV/atom. Number 7: V 20.2 Å³/atom, formation energy from the elements -0.26 eV/atom. Number 8: V 16.5 Å³/atom, formation energy from the elements -0.36 eV/atom. Number 9: V 21.2 Å³/atom, formation energy from the elements -0.36 eV/atom.